AcTlBiPb | Alexandria | PBE | optimized geometry; energy of formation from the pure elements = -0.302 eV per atom
1.0
-5.321 1.713 1.422
-3.830 -3.831 1.979
-1.606 0.125 5.538
Pb Ac Bi Tl
1 1 1 1
Direct
0.750 0.750 0.750
0.250 0.250 0.250
0.500 0.500 0.500
0.000 0.000 0.000



SnGe2Pb2 | Alexandria | PBE | optimized geometry; energy of formation from the pure elements = 0.158 eV per atom; distance to the lowest polymorph of the same formula = 0.0000 eV per atom
1.0
7.587 0.000 0.000
0.000 7.587 0.000
0.000 0.000 4.674
Pb Ge Sn
4 4 2
Direct
0.180 0.680 0.500
0.680 0.820 0.500
0.820 0.320 0.500
0.320 0.180 0.500
0.380 0.880 0.000
0.880 0.620 0.000
0.620 0.120 0.000
0.120 0.380 0.000
0.000 0.000 0.000
0.500 0.500 0.000



Sc2As3 | Alexandria | PBE | optimized geometry; energy of formation from the pure elements = -0.667 eV per atom; distance to the lowest polymorph of the same formula = 0.2145 eV per atom
1.0
8.915 -1.849 -0.005
8.915 1.849 -0.005
8.533 0.000 3.174
Sc As
2 3
Direct
0.393 0.393 0.393
0.607 0.607 0.607
0.000 0.000 0.000
0.800 0.800 0.800
0.200 0.200 0.200